Computed, not measured: an optimized crystal structure of BeVCoO at the GGA+U level of DFT.

## Properties
For the total energy, the calculation gives -5.509 eV per atom. As for the space group: No. 8. The energy above the most stable polymorph in this dataset is 0.2753 eV/atom.

Cell: 2.7184 3.8794 8.6412 Å, 90.00 109.23 90.00°
Fractional positions:
Be: 0.5674 0.0000 0.9819
Be: 0.5674 0.5000 0.4819
Co: 0.9940 0.0000 0.4179
Co: 0.9940 0.5000 0.9179
O: 0.7578 0.0000 0.1763
O: 0.7578 0.5000 0.6763
V: 0.7700 0.0000 0.6866
V: 0.7700 0.5000 0.1866